VASP calculation (PBE-GGA) on an optimized crystal structure of CeTi2Ga.

The structure in extended XYZ format:
```
4
Lattice="4.393 0.000 0.000 0.000 4.393 0.000 0.000 0.000 3.891" Properties=species:S:1:pos:R:3 pbc="T T T"
Ce 0.000 0.000 0.000
Ti 0.000 2.196 1.945
Ti 2.196 0.000 1.945
Ga 2.196 2.196 0.000
```

Computed properties:
Relative energy among the computed polymorphs (eV per formula unit): 0.00
E_form (eV/f.u.): -0.59
M_tot (μB/atom): 0.000